Density functional theory data (GGA-PBE) for a relaxed Rb2TiCl5 crystal.

## Properties
E above lowest polymorph	0.0	kJ/mol of atoms
Fermi-level density of states	0.6719	states/eV/atom
raw formation energy	-1.7980	eV/atom

Cell: 9.200 7.077 14.652 Å, 90.00 90.00 90.00°
Sites, in units of the cell vectors:
Rb 0.038 0.250 0.206
Rb 0.166 0.750 0.416
Rb 0.334 0.250 0.916
Rb 0.462 0.750 0.706
Rb 0.538 0.250 0.294
Rb 0.666 0.750 0.084
Rb 0.834 0.250 0.584
Rb 0.962 0.750 0.794
Ti 0.173 0.750 0.059
Ti 0.327 0.250 0.559
Ti 0.673 0.750 0.441
Ti 0.827 0.250 0.941
Cl 0.000 0.000 0.000
Cl 0.000 0.500 0.000
Cl 0.032 0.750 0.197
Cl 0.169 0.008 0.612
Cl 0.169 0.492 0.612
Cl 0.219 0.250 0.406
Cl 0.281 0.750 0.906
Cl 0.331 0.508 0.112
Cl 0.331 0.992 0.112
Cl 0.468 0.250 0.697
Cl 0.500 0.000 0.500
Cl 0.500 0.500 0.500
Cl 0.532 0.750 0.303
Cl 0.669 0.008 0.888
Cl 0.669 0.492 0.888
Cl 0.719 0.250 0.094
Cl 0.781 0.750 0.594
Cl 0.831 0.508 0.388
Cl 0.831 0.992 0.388
Cl 0.968 0.250 0.803

---

Density functional theory data (GGA-PBE) for a relaxed AlNiPd6 crystal.

## Properties
E above lowest polymorph	12.5	kJ/mol of atoms
Fermi-level density of states	1.3281	states/eV/atom
energy of formation	-0.15	eV/atom

Cell: 4.883 4.936 5.112 Å, 92.54 91.95 94.64°
Sites, in units of the cell vectors:
Al 0.000 0.000 0.000
Ni 0.500 0.500 0.500
Pd 0.022 0.754 0.565
Pd 0.246 0.448 0.943
Pd 0.452 0.973 0.249
Pd 0.548 0.027 0.751
Pd 0.754 0.552 0.057
Pd 0.978 0.246 0.435

---

Density functional theory data (GGA-PBE) for a relaxed SmIn6Ag crystal.

## Properties
Fermi-level density of states	0.3664	states/eV/atom
energy of formation	-0.16	eV/atom

Cell: 6.668 6.668 4.837 Å, 90.00 90.00 109.11°
Sites, in units of the cell vectors:
Sm 0.000 0.000 0.000
In 0.000 0.500 0.000
In 0.217 0.783 0.500
In 0.297 0.297 0.500
In 0.500 0.000 0.000
In 0.703 0.703 0.500
In 0.783 0.217 0.500
Ag 0.500 0.500 0.000

---

Density functional theory data (GGA-PBE) for a relaxed DyGa12Pd6 crystal.

## Properties
Fermi-level density of states	0.2870	states/eV/atom
energy of formation	-0.47	eV/atom

Cell: 7.197 7.197 7.197 Å, 104.23 104.23 104.23°
Sites, in units of the cell vectors:
Dy 0.000 0.000 0.000
Ga 0.111 0.500 0.889
Ga 0.111 0.889 0.500
Ga 0.142 0.392 0.392
Ga 0.392 0.142 0.392
Ga 0.392 0.392 0.142
Ga 0.500 0.111 0.889
Ga 0.500 0.889 0.111
Ga 0.608 0.608 0.858
Ga 0.608 0.858 0.608
Ga 0.858 0.608 0.608
Ga 0.889 0.111 0.500
Ga 0.889 0.500 0.111
Pd 0.284 0.711 0.711
Pd 0.289 0.289 0.716
Pd 0.289 0.716 0.289
Pd 0.711 0.284 0.711
Pd 0.711 0.711 0.284
Pd 0.716 0.289 0.289

---

Density functional theory data (GGA-PBE) for a relaxed AlIrPdO6 crystal.

## Properties
Fermi-level density of states	0.6851	states/eV/atom
raw formation energy	-1.1439	eV/atom

Cell: 5.003 5.003 8.642 Å, 90.00 90.00 120.00°
Sites, in units of the cell vectors:
Al 0.333 0.667 0.250
Al 0.667 0.333 0.750
Ir 0.333 0.667 0.750
Ir 0.667 0.333 0.250
Pd 0.000 0.000 0.000
Pd 0.000 0.000 0.500
O 0.009 0.357 0.130
O 0.009 0.651 0.370
O 0.349 0.357 0.370
O 0.349 0.991 0.130
O 0.357 0.009 0.630
O 0.357 0.349 0.870
O 0.643 0.651 0.130
O 0.643 0.991 0.370
O 0.651 0.009 0.870
O 0.651 0.643 0.630
O 0.991 0.349 0.630
O 0.991 0.643 0.870

---

Density functional theory data (GGA-PBE) for a relaxed Ho5TlAg2 crystal.

## Properties
Fermi-level density of states	1.3366	states/eV/atom
energy of formation	-0.23	eV/atom

Cell: 8.765 8.765 8.765 Å, 125.59 125.59 80.56°
Sites, in units of the cell vectors:
Ho 0.000 0.000 0.000
Ho 0.005 0.505 0.810
Ho 0.196 0.005 0.500
Ho 0.304 0.804 0.810
Ho 0.495 0.304 0.500
Ho 0.500 0.500 0.000
Ho 0.505 0.696 0.500
Ho 0.696 0.196 0.190
Ho 0.804 0.995 0.500
Ho 0.995 0.495 0.190
Tl 0.250 0.250 0.000
Tl 0.750 0.750 0.000
Ag 0.134 0.366 0.500
Ag 0.366 0.866 0.232
Ag 0.634 0.134 0.768
Ag 0.866 0.634 0.500

---

Density functional theory data (GGA-PBE) for a relaxed HfCuNi2H crystal.

## Properties
E above lowest polymorph	7.8	kJ/mol of atoms
Fermi-level density of states	0.9538	states/eV/atom

Cell: 3.960 3.960 3.633 Å, 90.00 90.00 90.00°
Sites, in units of the cell vectors:
Hf 0.000 0.000 0.000
Cu 0.500 0.500 0.000
Ni 0.000 0.500 0.500
Ni 0.500 0.000 0.500
H 0.500 0.500 0.500

---

Density functional theory data (GGA-PBE) for a relaxed Ge3SbAu3 crystal.

## Properties
Fermi-level density of states	0.2616	states/eV/atom
raw formation energy	0.3680	eV/atom

Cell: 7.164 7.164 7.164 Å, 90.00 90.00 90.00°
Sites, in units of the cell vectors:
Ge 0.000 0.250 0.500
Ge 0.000 0.750 0.500
Ge 0.250 0.500 0.000
Ge 0.500 0.000 0.250
Ge 0.500 0.000 0.750
Ge 0.750 0.500 0.000
Sb 0.000 0.000 0.000
Sb 0.500 0.500 0.500
Au 0.000 0.500 0.250
Au 0.000 0.500 0.750
Au 0.250 0.000 0.500
Au 0.500 0.250 0.000
Au 0.500 0.750 0.000
Au 0.750 0.000 0.500